(1)
The following is a PBE calculation of a relaxed structure of AsCl3, from Alexandria.

Values from the calculation:
VASP energy   -8.7 eV/cell
Formation energy (no corrections)   381 meV per atom

Cell lengths 4.929, 4.929, 4.929 Å; angles 109.48, 109.48, 109.48 degrees
Element x y z (fractional)
As 0.000 0.000 0.000
Cl 0.500 0.000 0.500
Cl 0.500 0.500 0.000
Cl 0.000 0.500 0.500

(2)
The following is a PBE calculation of a relaxed structure of AsCl5, from Alexandria.

Values from the calculation:
VASP energy   -11.8 eV/cell
Formation energy (no corrections)   349 meV per atom

Cell lengths 5.037, 5.037, 8.536 Å; angles 90.00, 90.00, 120.00 degrees
Element x y z (fractional)
As 0.000 0.000 0.000
Cl 0.333 0.667 0.000
Cl 0.667 0.333 0.000
Cl 0.500 0.000 0.500
Cl 0.000 0.500 0.500
Cl 0.500 0.500 0.500

(3)
The following is a PBE calculation of a relaxed structure of As3Cl5, from Alexandria.

Values from the calculation:
VASP energy   -22.4 eV/cell
E above lowest polymorph   23.3 kJ per mole of atoms
Formation energy (no corrections)   97 meV per atom

Cell lengths 7.405, 7.405, 3.467 Å; angles 90.00, 90.00, 107.00 degrees
Element x y z (fractional)
As 0.500 0.500 0.000
As 0.815 0.185 0.500
As 0.185 0.815 0.500
Cl 0.000 0.000 0.000
Cl 0.000 0.500 0.000
Cl 0.500 0.000 0.000
Cl 0.303 0.303 0.500
Cl 0.697 0.697 0.500

(4)
The following is a PBE calculation of a relaxed structure of AsCl2, from Alexandria.

Values from the calculation:
VASP energy   -7.1 eV/cell
E above lowest polymorph   85.2 kJ per mole of atoms
Formation energy (no corrections)   416 meV per atom

Cell lengths 6.608, 6.608, 2.373 Å; angles 90.00, 90.00, 120.00 degrees
Element x y z (fractional)
As 0.000 0.000 0.000
Cl 0.333 0.667 0.500
Cl 0.667 0.333 0.500

- Look up the formation energy (no corrections) of the fourth one.
  416 meV per atom

- The lowest formation energy (no corrections) belongs to which entry?
  As3Cl5